Record 1
Ho7Er2Th2 | PBE | optimized geometry

Unit cell a=6.489 b=6.489 c=8.675 alpha=98.23 beta=98.23 gamma=95.28
Fractional positions:
Ho 0.000 0.000 0.000
Ho 0.085 0.447 0.798
Ho 0.150 0.150 0.410
Ho 0.447 0.085 0.798
Ho 0.553 0.915 0.202
Ho 0.850 0.850 0.590
Ho 0.915 0.553 0.202
Er 0.390 0.390 0.153
Er 0.610 0.610 0.847
Th 0.324 0.676 0.500
Th 0.676 0.324 0.500

The density of states at the Fermi level comes out at 1.66 states/eV/atom. Its crystal system is monoclinic. Its distance to the lowest polymorph of the same formula is 0.000 eV per atom.

=====

Record 2
Ho5Er2Th4 | PBE | optimized geometry

Unit cell a=8.962 b=8.962 c=6.554 alpha=99.26 beta=99.26 gamma=43.37
Fractional positions:
Ho 0.000 0.000 0.000
Ho 0.175 0.654 0.594
Ho 0.346 0.825 0.406
Ho 0.654 0.175 0.594
Ho 0.825 0.346 0.406
Er 0.196 0.196 0.819
Er 0.804 0.804 0.181
Th 0.248 0.248 0.337
Th 0.405 0.405 0.089
Th 0.595 0.595 0.911
Th 0.752 0.752 0.663

The density of states at the Fermi level comes out at 1.42 states/eV/atom. Its crystal system is monoclinic. Its distance to the lowest polymorph of the same formula is 0.176 eV per atom.

=====

Record 3
Ho3Er5Th3 | PBE | optimized geometry

Unit cell a=9.762 b=9.762 c=5.390 alpha=90.00 beta=90.00 gamma=120.00
Fractional positions:
Ho 0.000 0.445 0.000
Ho 0.445 0.000 0.000
Ho 0.555 0.555 0.000
Er 0.000 0.266 0.500
Er 0.266 0.000 0.500
Er 0.333 0.667 0.500
Er 0.667 0.333 0.500
Er 0.734 0.734 0.500
Th 0.000 0.631 0.500
Th 0.369 0.369 0.500
Th 0.631 0.000 0.500

The density of states at the Fermi level comes out at 1.64 states/eV/atom. Its crystal system is hexagonal. Its distance to the lowest polymorph of the same formula is 0.540 eV per atom.

=====

Record 4
HoErTh6 | PBE | optimized geometry

Unit cell a=8.329 b=8.329 c=5.988 alpha=111.01 beta=111.01 gamma=42.15
Fractional positions:
Ho 0.000 0.000 0.000
Er 0.500 0.500 0.500
Th 0.127 0.127 0.628
Th 0.250 0.250 0.250
Th 0.373 0.373 0.872
Th 0.627 0.627 0.128
Th 0.750 0.750 0.750
Th 0.873 0.873 0.372

The density of states at the Fermi level comes out at 1.67 states/eV/atom. Its crystal system is monoclinic. Its distance to the lowest polymorph of the same formula is 0.068 eV per atom.

=====

Record 5
Ho3Er2Th6 | PBE | optimized geometry

Unit cell a=13.060 b=13.060 c=13.060 alpha=24.93 beta=24.93 gamma=24.93
Fractional positions:
Ho 0.000 0.000 0.000
Ho 0.274 0.274 0.274
Ho 0.726 0.726 0.726
Er 0.455 0.455 0.455
Er 0.545 0.545 0.545
Th 0.093 0.093 0.093
Th 0.183 0.183 0.183
Th 0.364 0.364 0.364
Th 0.636 0.636 0.636
Th 0.817 0.817 0.817
Th 0.907 0.907 0.907

The density of states at the Fermi level comes out at 1.50 states/eV/atom. Its crystal system is trigonal.

=====

Record 6
Ho5Er3Th2 | PBE | optimized geometry

Unit cell a=9.907 b=9.907 c=8.987 alpha=108.44 beta=108.44 gamma=115.21
Fractional positions:
Ho 0.027 0.973 0.750
Ho 0.121 0.375 0.751
Ho 0.278 0.722 0.250
Ho 0.375 0.121 0.251
Ho 0.469 0.531 0.250
Ho 0.531 0.469 0.750
Ho 0.625 0.879 0.749
Ho 0.722 0.278 0.750
Ho 0.879 0.625 0.249
Ho 0.973 0.027 0.250
Er 0.021 0.272 0.044
Er 0.218 0.782 0.750
Er 0.272 0.021 0.544
Er 0.728 0.979 0.456
Er 0.782 0.218 0.250
Er 0.979 0.728 0.956
Th 0.238 0.488 0.477
Th 0.488 0.238 0.977
Th 0.512 0.762 0.023
Th 0.762 0.512 0.523

The density of states at the Fermi level comes out at 1.50 states/eV/atom. Its crystal system is monoclinic.

=====

The evaluated energy relative to the elements for the records listed, in turn: 145 198 945 123 144 218 meV per atom.
The evaluated ρ for the records listed, in turn: 9125 9736 7566 11129 10600 9233 kg/m³.